## CrHg2Br (PBE-GGA)

Data for CrHg2Br after structural relaxation.

Geometry as POSCAR:
```
CrHg2Br
1.0
3.888 0.000 0.000
0.000 4.332 -0.071
0.000 2.759 6.157
Hg Br Cr
2 1 1
direct
0.500 0.500 0.000 Hg
0.000 0.000 0.000 Hg
0.500 0.500 0.500 Br
0.000 0.000 0.500 Cr
```

Summary:
The symmetry is P2/m. The total energy is -2.803 eV per atom. Its formation energy (no corrections) is 0.172 eV per atom.